DFT (GGA-PBE) results for an optimized crystal structure of DyTmNiPd.

distance to the lowest polymorph of the same formula	0.0	meV per atom
formation energy from the elements	-688.9	meV per atom
calculated density	9.9	g cm⁻³
N(E_F)	0.729	states/eV/atom
crystal system	orthorhombic
total magnetization	0.000	μB per atom
DFT total energy	-5.701	eV per atom

Geometry as POSCAR:
```
DyTmNiPd
1.0
4.356 0.000 0.000
0.000 1.870 5.136
0.000 -1.870 5.136
Dy Tm Ni Pd
1 1 1 1
direct
0.000 0.000 0.000
0.500 0.279 0.279
0.000 0.723 0.723
0.500 0.563 0.563
```